DFT (GGA-PBE) results for Al2InP after structural relaxation.

Total magnetic moment   0.00 μB per cell
DOS at the Fermi energy   0.61 states/eV/f.u.
Energy above the most stable polymorph in this dataset   194 meV/atom
Calculated total energy   -3.8151 eV per atom
Symmetry   Pmm2

```
Al2InP
1.0
-1.9731 3.0140 -0.8872
-1.4324 -0.1914 2.5350
5.0051 4.2025 3.1458
Al P In
2 1 1
Direct
0.5000 0.2502 0.2179
0.0000 0.7502 0.0013
0.5000 0.7494 0.7852
0.0000 0.7502 0.4956
```

***

DFT (GGA-PBE) results for Al2InP after structural relaxation.

Total magnetic moment   0.00 μB per cell
DOS at the Fermi energy   1.49 states/eV/f.u.
Energy above the most stable polymorph in this dataset   231 meV/atom
Calculated total energy   -3.7778 eV per atom
Symmetry   Immm

```
Al2InP
1.0
5.3085 -0.4168 0.1281
1.9095 4.9707 -0.1281
-2.9691 -3.2912 2.9534
Al P In
2 1 1
Direct
0.4563 0.4563 0.0000
0.0437 0.0437 0.0000
0.2500 0.7500 0.5000
0.7500 0.2500 0.5000
```